PaSb2H | PBE | optimized geometry

Cell lengths 4.0553, 4.0553, 6.8601 Å; angles 97.51, 97.62, 123.68 degrees
Last column: nearest neighbours and their distance in Å.
Positions (direct):
Pa  0.6994  0.6131  0.3126  3 H 2.27-2.35
Sb  0.2236  0.7646  0.9882  2 Sb 3.00, 3 H 3.04-3.33, 3 Pa 3.10-3.16
Sb  0.5489  0.0879  0.6368  2 Sb 3.00, 3 H 3.04-3.34, 3 Pa 3.09-3.16
H  0.0281  0.2843  0.3124  3 Pa 2.27-2.35

The calculation puts the total DFT energy (no corrections) at -5.425 eV per atom. For the total moment, the calculation gives 0.00 μB per cell.

---

PaSbH2 | PBE | optimized geometry

Cell lengths 3.1238, 3.1238, 6.4000 Å; angles 90.00, 90.00, 90.00 degrees
Last column: nearest neighbours and their distance in Å.
Positions (direct):
Sb  0.5000  0.5000  0.5000  4 Sb 3.12, 8 H 3.16, 2 Pa 3.20
Pa  0.5000  0.5000  0.0000  8 H 2.40
H  0.0000  0.0000  0.8540  1 H 1.87
H  0.0000  0.0000  0.1460  1 H 1.87

The calculation puts the total DFT energy (no corrections) at -5.069 eV per atom. For the total moment, the calculation gives 1.40 μB per cell.

---

PaSbH2 | PBE | optimized geometry

Cell lengths 3.9398, 5.9185, 5.9176 Å; angles 90.00, 90.00, 109.44 degrees
Last column: nearest neighbours and their distance in Å.
Positions (direct):
Pa  0.2068  0.4136  0.2500  6 H 2.23-2.26
Pa  0.7932  0.5864  0.7500  6 H 2.23-2.26
Sb  0.9259  0.8518  0.2500  6 H 2.91-2.98, 3 Pa 3.14
Sb  0.0741  0.1482  0.7500  6 H 2.91-2.98, 3 Pa 3.14
H  0.3159  0.6319  0.5662  1 H 2.17, 3 Pa 2.23-2.26
H  0.6841  0.3681  0.4338  1 H 2.17, 3 Pa 2.23-2.26
H  0.6841  0.3681  0.0662  1 H 2.17, 3 Pa 2.23-2.26
H  0.3159  0.6319  0.9338  1 H 2.17, 3 Pa 2.23-2.26

The calculation puts the total DFT energy (no corrections) at -5.452 eV per atom. For the total moment, the calculation gives 0.00 μB per cell.

---

PaSbH3 | PBE | optimized geometry

Cell lengths 5.7084, 5.7003, 5.7001 Å; angles 119.93, 119.95, 90.06 degrees
Last column: nearest neighbours and their distance in Å.
Positions (direct):
Pa  0.5000  0.5000  0.0000  6 H 2.02
Pa  0.0000  0.0000  0.0000  6 H 2.02
Sb  0.7500  0.2500  0.5000  12 H 2.85
Sb  0.2500  0.7500  0.5000  12 H 2.85
H  0.2500  0.2500  0.5000  2 Pa 2.02
H  0.7500  0.7500  0.5000  2 Pa 2.02
H  0.2500  0.7500  0.0000  2 Pa 2.02
H  0.7500  0.2500  0.0000  2 Pa 2.02
H  0.7500  0.7500  0.0000  2 Pa 2.02
H  0.2500  0.2500  0.0000  2 Pa 2.02

The calculation puts the total DFT energy (no corrections) at -4.899 eV per atom. For the total moment, the calculation gives 0.00 μB per cell.

---

Pa2SbH | PBE | optimized geometry

Cell lengths 4.6876, 6.5366, 10.3537 Å; angles 90.00, 90.00, 90.00 degrees
Last column: nearest neighbours and their distance in Å.
Positions (direct):
Pa  0.7500  0.1558  0.5703  3 H 2.38-2.40
Pa  0.2500  0.3442  0.0703  3 H 2.38-2.40
Pa  0.2500  0.8442  0.4297  3 H 2.38-2.40
Pa  0.7500  0.6558  0.9297  3 H 2.38-2.40
Pa  0.7500  0.6062  0.2669  2 H 2.18-2.41
Pa  0.2500  0.8938  0.7669  2 H 2.18-2.41
Pa  0.2500  0.3938  0.7331  2 H 2.18-2.41
Pa  0.7500  0.1062  0.2331  2 H 2.18-2.41
Sb  0.7500  0.6604  0.6121  1 H 2.71
Sb  0.2500  0.8396  0.1121  1 H 2.71
Sb  0.2500  0.3396  0.3879  1 H 2.71
Sb  0.7500  0.1604  0.8879  1 H 2.71
H  0.7500  0.9071  0.4021  5 Pa 2.18-2.41
H  0.2500  0.5929  0.9021  5 Pa 2.18-2.41
H  0.2500  0.0929  0.5979  5 Pa 2.18-2.41
H  0.7500  0.4071  0.0979  5 Pa 2.18-2.41

The calculation puts the total DFT energy (no corrections) at -6.964 eV per atom. For the total moment, the calculation gives 0.00 μB per cell.

---

Pa2SbH | PBE | optimized geometry

Cell lengths 3.2943, 3.2943, 8.7037 Å; angles 79.09, 79.09, 60.00 degrees
Last column: nearest neighbours and their distance in Å.
Positions (direct):
Sb  0.5000  0.5000  0.5000  6 Sb 3.29, 6 Pa 3.30
Pa  0.2727  0.2727  0.1820  3 H 2.45
Pa  0.7273  0.7273  0.8180  3 H 2.45
H  0.0000  0.0000  0.0000  6 Pa 2.45

The calculation puts the total DFT energy (no corrections) at -6.771 eV per atom. For the total moment, the calculation gives 0.00 μB per cell.

---

Pa2Sb2H | PBE | optimized geometry

Cell lengths 3.9773, 5.8231, 11.1275 Å; angles 90.00, 90.00, 109.97 degrees
Last column: nearest neighbours and their distance in Å.
Positions (direct):
Pa  0.2083  0.4166  0.1097  2 H 2.43
Pa  0.0690  0.1380  0.9029  2 H 2.41
Pa  0.7917  0.5834  0.6097  2 H 2.43
Pa  0.9310  0.8620  0.4029  2 H 2.41
Sb  0.9255  0.8509  0.1347  5 Pa 2.99-3.11
Sb  0.3509  0.7017  0.8357  6 Pa 3.17-3.43, 2 H 3.55
Sb  0.0745  0.1491  0.6347  5 Pa 2.99-3.11
Sb  0.6491  0.2983  0.3357  6 Pa 3.17-3.43, 2 H 3.55
H  0.6416  0.2832  0.0023  4 Pa 2.41-2.43
H  0.3584  0.7168  0.5023  4 Pa 2.41-2.43

The calculation puts the total DFT energy (no corrections) at -6.312 eV per atom. For the total moment, the calculation gives 4.83 μB per cell.

---

Pa3Sb2H | PBE | optimized geometry

Cell lengths 6.0574, 6.7507, 6.7507 Å; angles 97.29, 90.00, 90.00 degrees
Last column: nearest neighbours and their distance in Å.
Positions (direct):
Pa  0.5113  0.1413  0.8587  2 H 2.32
Pa  0.0113  0.1413  0.8587  2 H 2.32
Pa  0.2613  0.3613  0.3613  1 H 2.20
Pa  0.7613  0.6387  0.6387  1 H 2.20
Pa  0.0113  0.8587  0.1413  2 H 2.32
Pa  0.5113  0.8587  0.1413  2 H 2.32
Sb  0.7613  0.1621  0.4617  1 Sb 3.04, 5 Pa 3.10-3.29
Sb  0.2613  0.5383  0.8379  1 Sb 3.04, 5 Pa 3.10-3.29
Sb  0.2613  0.8379  0.5383  1 Sb 3.04, 5 Pa 3.10-3.29
Sb  0.7613  0.4617  0.1621  1 Sb 3.04, 5 Pa 3.10-3.29
H  0.7613  0.8854  0.8854  5 Pa 2.20-2.32
H  0.2613  0.1146  0.1146  5 Pa 2.20-2.32

The calculation puts the total DFT energy (no corrections) at -6.876 eV per atom. For the total moment, the calculation gives 3.47 μB per cell.

---

Question: What is the total DFT energy (no corrections) in the sixth record?
Answer: -6.771 eV per atom